No. 1
Entry from Alexandria: a relaxed structure of KCuP2 (PBE-GGA).

Cell: 3.248 5.794 9.454 Å, 90.00 90.00 90.00°
Space group Imm2 (No. 44)
One atom of each set of equivalent atoms:
K1 0.000 0.000 0.000 [2 per cell]
Cu1 0.000 0.500 0.162 [2 per cell]
P1 0.000 0.000 0.480 [2 per cell]
P2 0.000 0.500 0.820 [2 per cell]

Properties
Its energy above the most stable polymorph in this dataset is 372.1 meV/atom. The value obtained for the formation enthalpy at 0 K is 0.237 eV per atom.

=====

No. 2
Entry from Alexandria: a relaxed structure of Ac2PmPrSm5 (PBE-GGA).

Cell: 5.873 20.556 11.048 Å, 90.00 90.00 90.00°
Space group Cmc2_1 (No. 36)
One atom of each set of equivalent atoms:
Ac1 0.000 0.113 0.000 [4 per cell]
Ac2 0.000 0.118 0.593 [4 per cell]
Pm1 0.000 0.209 0.278 [4 per cell]
Pr1 0.000 0.414 0.731 [4 per cell]
Sm1 0.000 0.020 0.297 [4 per cell]
Sm2 0.000 0.284 0.577 [4 per cell]
Sm3 0.000 0.297 0.973 [4 per cell]
Sm4 0.000 0.395 0.293 [4 per cell]
Sm5 0.000 0.479 0.010 [4 per cell]

Properties
The value obtained for the formation enthalpy at 0 K is 0.140 eV per atom.

=====

Magnetization for every record listed, in sequence, given in μB per formula unit: 0.000; 0.000.
E for every record listed, in sequence, given in eV per atom: -3.77; -4.45.